No. 1
## Np2AsPb (PBE-GGA)

Data for crystalline Np2AsPb at its relaxed geometry. Values from VASP.

Cell and atoms, written as Quantum ESPRESSO input:
```
&SYSTEM
  ibrav = 0, nat = 4, ntyp = 3
/
ATOMIC_SPECIES
Np 237.00 Np.upf
As 74.92 As.upf
Pb 207.20 Pb.upf
CELL_PARAMETERS angstrom
3.881 0.000 0.000
0.000 3.881 0.000
0.000 0.000 6.425
ATOMIC_POSITIONS crystal
Np 0.000 0.000 0.215
Np 0.000 0.000 0.785
As 0.500 0.500 0.000
Pb 0.500 0.500 0.500
```

Properties
Total DFT energy (no corrections): -34.682 eV per cell
Density of states at the Fermi level: 12.0 states/eV/f.u.

No. 2
## Cr4AsRh (PBE-GGA)

Data for crystalline Cr4AsRh at its relaxed geometry. Values from VASP.

Cell and atoms, written as Quantum ESPRESSO input:
```
&SYSTEM
  ibrav = 0, nat = 6, ntyp = 3
/
ATOMIC_SPECIES
Cr 52.00 Cr.upf
As 74.92 As.upf
Rh 102.91 Rh.upf
CELL_PARAMETERS angstrom
0.000 3.373 3.373
3.373 0.000 3.373
3.373 3.373 0.000
ATOMIC_POSITIONS crystal
Cr 0.123 0.123 0.123
Cr 0.123 0.123 0.630
Cr 0.123 0.630 0.123
Cr 0.630 0.123 0.123
As 0.750 0.750 0.750
Rh 0.500 0.500 0.500
```

Properties
Total DFT energy (no corrections): -48.844 eV per cell
Density of states at the Fermi level: 5.8 states/eV/f.u.

- Which of these has the lowest total DFT energy (no corrections)?
  Cr4AsRh

- What is the formula in the second record?
  Cr4AsRh